CrFeRh2 (meta-GGA SCAN, PBEsol geometry); M_tot = 0.4131 μB per atom; N(E_F) = 0.957 states/eV per atom; SG = R-3m (166); crystal system = trigonal; mass density = 10.5 g/cm3; DFT formation energy = -50 meV per atom
1.0
2.615 0.000 0.000
-1.308 2.265 0.000
0.000 0.000 25.220
Cr Fe Rh
3 3 6
Direct
0.000 0.000 0.000
0.333 0.667 0.667
0.667 0.333 0.333
0.000 0.000 0.500
0.333 0.667 0.167
0.667 0.333 0.833
0.000 0.000 0.252
0.000 0.000 0.748
0.333 0.667 0.415
0.333 0.667 0.918
0.667 0.333 0.082
0.667 0.333 0.585

=====

CoSe2Br (meta-GGA SCAN, PBEsol geometry); M_tot = 0.2523 μB per atom; N(E_F) = 0.616 states/eV per atom; SG = P4mm (99); ΔE_f (raw) = 2.8 kcal/mol of atoms; crystal system = tetragonal; mass density = 5.6 g/cm3
1.0
2.841 0.000 0.000
0.000 2.841 0.000
0.000 0.000 10.842
Co Se Br
1 2 1
Direct
0.000 0.000 0.000
0.000 0.000 0.214
0.500 0.500 0.889
0.500 0.500 0.537

=====

SrLaCoO4 (meta-GGA SCAN, PBEsol geometry); M_tot = 0.0000 μB per atom; SG = I4mm (107); ΔE_f (raw) = -64.6 kcal/mol of atoms; crystal system = tetragonal; mass density = 6.6 g/cm3
1.0
3.782 0.000 0.000
0.000 3.782 0.000
0.000 0.000 12.215
Sr La Co O
2 2 2 8
Direct
0.000 0.000 0.000
0.500 0.500 0.500
0.000 0.000 0.280
0.500 0.500 0.780
0.000 0.000 0.635
0.500 0.500 0.135
0.000 0.000 0.474
0.000 0.000 0.800
0.000 0.500 0.146
0.000 0.500 0.646
0.500 0.000 0.146
0.500 0.000 0.646
0.500 0.500 0.300
0.500 0.500 0.974

=====

Hf2ZnCo (meta-GGA SCAN, PBEsol geometry); M_tot = 0.3556 μB per atom; N(E_F) = 1.040 states/eV per atom; SG = Fm-3m (225); crystal system = cubic; mass density = 12.4 g/cm3; DFT formation energy = -317 meV per atom
1.0
6.370 0.000 0.000
0.000 6.370 0.000
0.000 0.000 6.370
Hf Zn Co
8 4 4
Direct
0.250 0.250 0.250
0.250 0.250 0.750
0.250 0.750 0.250
0.250 0.750 0.750
0.750 0.250 0.250
0.750 0.250 0.750
0.750 0.750 0.250
0.750 0.750 0.750
0.000 0.000 0.000
0.000 0.500 0.500
0.500 0.000 0.500
0.500 0.500 0.000
0.000 0.000 0.500
0.000 0.500 0.000
0.500 0.000 0.000
0.500 0.500 0.500